The following is a PBEsol calculation of an optimized crystal structure of Cs2TiAg, from Alexandria.

Cell: 6.1185 6.1185 6.1185 Å, 60.00 60.00 60.00°
Last column: nearest neighbours and their distance in Å.
Positions (direct):
Ag  0.5000  0.5000  0.5000  8 Cs 3.75
Cs  0.2500  0.2500  0.2500  4 Ti 3.75, 4 Ag 3.75
Cs  0.7500  0.7500  0.7500  4 Ti 3.75, 4 Ag 3.75
Ti  0.0000  0.0000  0.0000  8 Cs 3.75

Results
The density of states at the Fermi level comes out at 8.91 states/eV per cell. The density comes out at 4.32 g/cm³. Its space-group type is No. 225. The calculation puts the uncorrected energy at -9.14 eV for the cell shown.